PBE-GGA TbSm3Tm2Se6, optimized geometry; magnetization = 0.0000 μB per atom; energy = -69.801 eV per cell
1.0
3.522 -6.135 0.000
3.522 6.135 0.000
-2.361 0.000 6.806
Tb Sm Tm Se
1 3 2 6
Cartesian
0.000 0.000 0.000
2.341 4.136 3.403
2.341 0.000 3.403
2.341 -4.136 3.403
3.522 2.038 0.000
3.522 -2.038 0.000
1.188 2.079 1.623
0.027 0.000 5.202
1.188 -2.079 1.623
3.495 2.079 5.183
4.655 0.000 1.604
3.495 -2.079 5.183



PBE-GGA Na8TlAu6, optimized geometry; energy of formation = -0.235 eV per atom; magnetization = 0.0000 μB per atom; energy = -36.106 eV per cell
1.0
4.296 2.480 6.028
-4.296 2.480 6.028
0.000 -4.961 6.028
Na Tl Au
8 1 6
Cartesian
-2.802 0.027 6.923
0.000 0.000 3.024
-1.425 -2.414 11.160
1.378 -2.440 6.923
-1.378 2.440 11.160
1.425 2.414 6.923
0.000 0.000 15.059
2.803 -0.027 11.160
0.000 0.000 9.042
-1.470 -2.535 8.175
-2.931 0.005 9.909
-1.461 2.541 8.175
1.461 -2.541 9.909
2.931 -0.005 8.175
1.470 2.535 9.909



PBE-GGA ErScGaRu, optimized geometry; energy of formation = -0.520 eV per atom; magnetization = 0.0000 μB per atom; energy = -25.276 eV per cell; energy above the lowest structure with this stoichiometry = 85 meV per atom
1.0
0.000 3.372 3.372
3.372 0.000 3.372
3.372 3.372 0.000
Er Sc Ga Ru
1 1 1 1
Cartesian
0.000 0.000 0.000
3.372 3.372 3.372
1.686 1.686 1.686
5.058 5.058 5.058



PBE-GGA Ac3La4Rh4, optimized geometry; energy of formation = -0.509 eV per atom; magnetization = 0.0000 μB per atom; energy = -67.043 eV per cell
1.0
-2.078 4.697 8.118
2.078 -4.697 8.118
2.078 4.697 -8.118
Ac La Rh
3 4 4
Cartesian
0.000 0.000 0.000
2.078 0.000 6.449
0.000 4.697 1.669
2.078 1.823 -2.703
2.078 1.823 2.703
0.000 2.873 5.415
0.000 2.873 10.821
0.000 0.000 3.596
2.078 2.537 0.000
0.000 2.160 8.118
0.000 0.000 12.640